(1)
# PBE-GGA TbSmAgOs, optimized geometry
# - uncorrected energy (eV per atom) = -6.060
# - ΔE_f (eV per atom) = -0.202
# - V (Å³/cell) = 356
# - DOS(E_F) (states/eV per atom) = 0.72
data_TbSmAgOs
_symmetry_space_group_name_H-M 'F -4 3 m'
_symmetry_Int_Tables_number 216
_symmetry_space_group_name_Hall 'F -4 2 3'
_cell_length_a 7.0862
_cell_length_b 7.0862
_cell_length_c 7.0862
_cell_angle_alpha 90.00
_cell_angle_beta 90.00
_cell_angle_gamma 90.00
loop_
_atom_site_label
_atom_site_type_symbol
_atom_site_fract_x
_atom_site_fract_y
_atom_site_fract_z
_atom_site_occupancy
Tb1 Tb 0.0000 0.0000 0.0000 1
Sm1 Sm 0.0000 0.0000 0.5000 1
Ag1 Ag 0.2500 0.2500 0.2500 1
Os1 Os 0.2500 0.2500 0.7500 1

(2)
# PBE-GGA SmThAgOs, optimized geometry
# - uncorrected energy (eV per atom) = -6.691
# - ΔE_f (eV per atom) = -0.137
# - V (Å³/cell) = 378
# - DOS(E_F) (states/eV per atom) = 1.13
data_SmThAgOs
_symmetry_space_group_name_H-M 'F -4 3 m'
_symmetry_Int_Tables_number 216
_symmetry_space_group_name_Hall 'F -4 2 3'
_cell_length_a 7.2286
_cell_length_b 7.2286
_cell_length_c 7.2286
_cell_angle_alpha 90.00
_cell_angle_beta 90.00
_cell_angle_gamma 90.00
loop_
_atom_site_label
_atom_site_type_symbol
_atom_site_fract_x
_atom_site_fract_y
_atom_site_fract_z
_atom_site_occupancy
Sm1 Sm 0.0000 0.0000 0.0000 1
Th1 Th 0.0000 0.0000 0.5000 1
Ag1 Ag 0.2500 0.2500 0.2500 1
Os1 Os 0.2500 0.2500 0.7500 1

(3)
# PBE-GGA AgSnOs2, optimized geometry
# - uncorrected energy (eV per atom) = -6.455
# - ΔE_f (eV per atom) = 0.874
# - V (Å³/cell) = 310
# - DOS(E_F) (states/eV per atom) = 0.63
data_AgSnOs2
_symmetry_space_group_name_H-M 'I -4 2 d'
_symmetry_Int_Tables_number 122
_symmetry_space_group_name_Hall 'I -4 2bw'
_cell_length_a 3.9917
_cell_length_b 3.9917
_cell_length_c 19.4427
_cell_angle_alpha 90.00
_cell_angle_beta 90.00
_cell_angle_gamma 90.00
loop_
_atom_site_label
_atom_site_type_symbol
_atom_site_fract_x
_atom_site_fract_y
_atom_site_fract_z
_atom_site_occupancy
Ag1 Ag 0.0000 0.0000 0.0000 1
Sn1 Sn 0.0000 0.0000 0.5000 1
Os1 Os 0.1666 0.2500 0.1250 1

(4)
# PBE-GGA AgSn3Os, optimized geometry
# - uncorrected energy (eV per atom) = -4.811
# - ΔE_f (eV per atom) = 0.407
# - V (Å³/cell) = 137
# - DOS(E_F) (states/eV per atom) = 1.13
# - offset from the most stable computed form (meV per atom) = 0
data_AgSn3Os
_symmetry_space_group_name_H-M 'P m -3 m'
_symmetry_Int_Tables_number 221
_symmetry_space_group_name_Hall '-P 4 2 3'
_cell_length_a 5.1551
_cell_length_b 5.1551
_cell_length_c 5.1551
_cell_angle_alpha 90.00
_cell_angle_beta 90.00
_cell_angle_gamma 90.00
loop_
_atom_site_label
_atom_site_type_symbol
_atom_site_fract_x
_atom_site_fract_y
_atom_site_fract_z
_atom_site_occupancy
Ag1 Ag 0.0000 0.0000 0.0000 1
Sn1 Sn 0.0000 0.5000 0.5000 1
Os1 Os 0.5000 0.5000 0.5000 1

(5)
# PBE-GGA Ag3SnOs, optimized geometry
# - uncorrected energy (eV per atom) = -3.423
# - ΔE_f (eV per atom) = 1.334
# - V (Å³/cell) = 131
# - DOS(E_F) (states/eV per atom) = 0.98
# - offset from the most stable computed form (meV per atom) = 0
data_Ag3SnOs
_symmetry_space_group_name_H-M 'P m -3 m'
_symmetry_Int_Tables_number 221
_symmetry_space_group_name_Hall '-P 4 2 3'
_cell_length_a 5.0803
_cell_length_b 5.0803
_cell_length_c 5.0803
_cell_angle_alpha 90.00
_cell_angle_beta 90.00
_cell_angle_gamma 90.00
loop_
_atom_site_label
_atom_site_type_symbol
_atom_site_fract_x
_atom_site_fract_y
_atom_site_fract_z
_atom_site_occupancy
Ag1 Ag 0.0000 0.0000 0.5000 1
Sn1 Sn 0.5000 0.5000 0.5000 1
Os1 Os 0.0000 0.0000 0.0000 1

(6)
# PBE-GGA Ag2SnOs, optimized geometry
# - uncorrected energy (eV per atom) = -4.577
# - ΔE_f (eV per atom) = 0.657
# - V (Å³/cell) = 308
# - DOS(E_F) (states/eV per atom) = 0.64
data_Ag2SnOs
_symmetry_space_group_name_H-M 'I -4 2 d'
_symmetry_Int_Tables_number 122
_symmetry_space_group_name_Hall 'I -4 2bw'
_cell_length_a 3.8719
_cell_length_b 3.8719
_cell_length_c 20.5450
_cell_angle_alpha 90.00
_cell_angle_beta 90.00
_cell_angle_gamma 90.00
loop_
_atom_site_label
_atom_site_type_symbol
_atom_site_fract_x
_atom_site_fract_y
_atom_site_fract_z
_atom_site_occupancy
Ag1 Ag 0.2422 0.2500 0.1250 1
Sn1 Sn 0.0000 0.0000 0.5000 1
Os1 Os 0.0000 0.0000 0.0000 1